Computed, not measured: AuSe3 at its PBEsol-relaxed geometry at the meta-GGA SCAN level of DFT.

Cell lengths 4.992, 5.134, 7.830 Å; angles 90.00, 90.00, 90.00 degrees
Fractional coordinates of all 8 atoms:
Au 0.000 0.000 0.586
Au 0.500 0.500 0.414
Se 0.500 0.000 0.503
Se 0.000 0.500 0.497
Se 0.000 0.749 0.962
Se 0.000 0.251 0.962
Se 0.500 0.249 0.038
Se 0.500 0.751 0.038

Its space group is Pmmn. Its energy is -257.2 eV for the cell shown. The calculation puts the uncorrected formation energy at 0.196 eV per atom.

Computed, not measured: TeMoRh2 at its PBEsol-relaxed geometry at the meta-GGA SCAN level of DFT.

Cell lengths 3.063, 4.630, 4.759 Å; angles 98.59, 108.77, 90.00 degrees
Fractional coordinates of all 4 atoms:
Mo 0.000 0.500 0.000
Rh 0.257 0.268 0.514
Rh 0.743 0.732 0.486
Te 0.500 0.000 0.000

Its space group is C2/m. Its energy is -139.3 eV for the cell shown. The calculation puts the uncorrected formation energy at 0.104 eV per atom.

Computed, not measured: LiFeF4 at its PBEsol-relaxed geometry at the meta-GGA SCAN level of DFT.

Cell lengths 5.196, 5.196, 11.814 Å; angles 90.00, 90.00, 120.00 degrees
Fractional coordinates of all 18 atoms:
Li 0.000 0.433 0.833
Li 0.433 0.000 0.500
Li 0.567 0.567 0.167
Fe 0.000 0.427 0.333
Fe 0.427 0.000 0.000
Fe 0.573 0.573 0.667
F 0.927 0.613 0.710
F 0.919 0.593 0.213
F 0.675 0.081 0.880
F 0.687 0.073 0.377
F 0.387 0.313 0.044
F 0.407 0.325 0.546
F 0.613 0.927 0.623
F 0.593 0.919 0.120
F 0.081 0.675 0.454
F 0.073 0.687 0.956
F 0.313 0.387 0.290
F 0.325 0.407 0.787

Its space group is P3_121. Its energy is -151.2 eV for the cell shown. The value obtained for the energy relative to the lowest polymorph listed for this composition is 56.7 meV/atom. The calculation puts the uncorrected formation energy at -2.620 eV per atom.

Computed, not measured: Mg2NbCuPb at its PBEsol-relaxed geometry at the meta-GGA SCAN level of DFT.

Cell lengths 4.693, 4.693, 4.941 Å; angles 90.00, 90.00, 90.00 degrees
Fractional coordinates of all 5 atoms:
Pb 0.000 0.000 0.500
Nb 0.500 0.500 0.500
Mg 0.000 0.500 0.000
Mg 0.500 0.000 0.000
Cu 0.000 0.000 0.000

Its space group is P4/mmm. Its energy is -131.0 eV for the cell shown. The formation energy from the elements is 0.6050 eV per atom.

Computed, not measured: Li6MnF8 at its PBEsol-relaxed geometry at the meta-GGA SCAN level of DFT.

Cell lengths 5.727, 5.727, 5.727 Å; angles 60.00, 60.00, 60.00 degrees
Fractional coordinates of all 15 atoms:
Li 0.000 0.000 0.500
Li 0.500 0.000 0.000
Li 0.500 0.500 0.000
Li 0.000 0.500 0.000
Li 0.500 0.000 0.500
Li 0.000 0.500 0.500
Mn 0.000 0.000 0.000
F 0.758 0.242 0.242
F 0.242 0.242 0.758
F 0.758 0.242 0.758
F 0.242 0.758 0.242
F 0.250 0.250 0.250
F 0.750 0.750 0.750
F 0.242 0.758 0.758
F 0.758 0.758 0.242

Its space group is Fm-3m. Its energy is -104.2 eV for the cell shown. The calculation puts the uncorrected formation energy at -2.885 eV per atom.

Computed, not measured: KCdSi4 at its PBEsol-relaxed geometry at the meta-GGA SCAN level of DFT.

Cell lengths 5.395, 5.395, 5.395 Å; angles 60.00, 60.00, 60.00 degrees
Fractional coordinates of all 6 atoms:
Cd 0.750 0.750 0.750
K 0.000 0.000 0.000
Si 0.376 0.376 0.376
Si 0.376 0.376 0.873
Si 0.873 0.376 0.376
Si 0.376 0.873 0.376

Its space group is F-43m. Its energy is -75.7 eV for the cell shown. The calculation puts the uncorrected formation energy at 0.514 eV per atom.

Computed, not measured: Te2PtAu at its PBEsol-relaxed geometry at the meta-GGA SCAN level of DFT.

Cell lengths 3.969, 3.969, 6.906 Å; angles 73.30, 73.30, 60.00 degrees
Fractional coordinates of all 4 atoms:
Au 0.500 0.500 0.500
Pt 0.000 0.000 0.000
Te 0.258 0.258 0.225
Te 0.742 0.742 0.775

Its space group is R-3m. Its energy is -215.0 eV for the cell shown. The calculation puts the uncorrected formation energy at -0.295 eV per atom.

Computed, not measured: Co2SiHg at its PBEsol-relaxed geometry at the meta-GGA SCAN level of DFT.

Cell lengths 4.157, 4.157, 4.157 Å; angles 60.00, 60.00, 60.00 degrees
Fractional coordinates of all 4 atoms:
Co 0.250 0.250 0.250
Co 0.750 0.750 0.750
Hg 0.000 0.000 0.000
Si 0.500 0.500 0.500

Its space group is Fm-3m. Its energy is -111.4 eV for the cell shown. The value obtained for the energy relative to the lowest polymorph listed for this composition is 42.9 meV/atom. The calculation puts the uncorrected formation energy at 0.342 eV per atom.